No. 1
# BaSn6Pb2, relaxed, DFT GGA-PBE
data_BaSn6Pb2
_space_group_name_H-M_alt 'I m m m'
_space_group_IT_number 71
_space_group_name_Hall '-I 2 2'
_cell_length_a 4.8457
_cell_length_b 7.7987
_cell_length_c 15.9853
_cell_angle_alpha 90.00
_cell_angle_beta 90.00
_cell_angle_gamma 90.00
loop_
_atom_site_label
_atom_site_type_symbol
_atom_site_fract_x
_atom_site_fract_y
_atom_site_fract_z
Ba1 Ba 0.0000 0.0000 0.0000
Sn1 Sn 0.0000 0.1861 0.5000
Sn2 Sn 0.0000 0.3016 0.3058
Pb1 Pb 0.0000 0.5000 0.1153
# Magnetic moment ... 0.00 μB/f.u.
# Energy of formation ... -11 kJ/mol of atoms
# Crystal system ... orthorhombic

No. 2
# Sc2AlRh2, relaxed, DFT GGA-PBE
data_Sc2AlRh2
_space_group_name_H-M_alt 'P 4/m b m'
_space_group_IT_number 127
_space_group_name_Hall '-P 4 2ab'
_cell_length_a 6.8577
_cell_length_b 6.8577
_cell_length_c 3.7661
_cell_angle_alpha 90.00
_cell_angle_beta 90.00
_cell_angle_gamma 90.00
loop_
_atom_site_label
_atom_site_type_symbol
_atom_site_fract_x
_atom_site_fract_y
_atom_site_fract_z
Sc1 Sc 0.1672 0.3328 0.0000
Al1 Al 0.0000 0.0000 0.5000
Rh1 Rh 0.1437 0.6437 0.5000
# Magnetic moment ... 0.00 μB/f.u.
# Energy of formation ... -79 kJ/mol of atoms
# Crystal system ... tetragonal